Material: CaURh
Method: DFT, PBE
State: relaxed

Results
ΔE_f = -137 meV/atom
Density = 8.615 g/cm3

Lattice parameters (Å, degrees): 4.219 4.219 8.251 90.00 90.00 90.00
Site moments in Bohr magnetons follow the coordinates.
Fractional coordinates of all 6 atoms:
Rh: 0.500 0.000 0.730  -0.10
Rh: 0.000 0.500 0.270  -0.10
Ca: 0.500 0.000 0.138  0.02
Ca: 0.000 0.500 0.862  0.02
U: 0.500 0.500 0.500  1.72
U: 0.000 0.000 0.500  1.72

Material: Ca3URh3
Method: DFT, PBE
State: relaxed

Results
ΔE_f = -400 meV/atom
Density = 6.601 g/cm3

Lattice parameters (Å, degrees): 4.197 5.963 14.324 90.00 90.00 110.61
Site moments in Bohr magnetons follow the coordinates.
Fractional coordinates of all 14 atoms:
Ca: 0.217 0.434 0.881  0.01
Ca: 0.783 0.566 0.119  0.01
Ca: 0.217 0.434 0.619  0.01
Ca: 0.783 0.566 0.381  0.01
Ca: 0.496 0.993 0.750  0.01
Ca: 0.504 0.007 0.250  0.01
U: 0.500 0.000 0.000  1.62
U: 0.500 0.000 0.500  1.62
Rh: 0.926 0.853 0.914  -0.13
Rh: 0.074 0.147 0.086  -0.13
Rh: 0.926 0.853 0.586  -0.13
Rh: 0.074 0.147 0.414  -0.13
Rh: 0.811 0.623 0.750  -0.06
Rh: 0.189 0.377 0.250  -0.06

Material: CaV2Rh2
Method: DFT, PBE
State: relaxed

Results
ΔE_f = -76 meV/atom
Density = 6.456 g/cm3

Lattice parameters (Å, degrees): 4.410 4.410 5.557 66.62 66.62 90.00
Fractional coordinates of all 5 atoms:
Ca: 0.000 0.000 0.000
Rh: 0.750 0.250 0.500
Rh: 0.250 0.750 0.500
V: 0.371 0.371 0.259
V: 0.629 0.629 0.741

Material: CaV2Rh
Method: DFT, PBE
State: relaxed

Results
ΔE_f = 497 meV/atom
Density = 6.337 g/cm3

Lattice parameters (Å, degrees): 4.494 4.494 4.494 60.00 60.00 60.00
Site moments in Bohr magnetons follow the coordinates.
Fractional coordinates of all 4 atoms:
Ca: 0.000 0.000 0.000  0.04
Rh: 0.500 0.500 0.500  -0.07
V: 0.250 0.250 0.250  0.34
V: 0.750 0.750 0.750  0.34

Material: CaV3Rh
Method: DFT, PBE
State: relaxed

Results
ΔE_f = 2119 meV/atom
Density = 6.233 g/cm3

Lattice parameters (Å, degrees): 4.287 4.287 4.287 90.00 90.00 90.00
Site moments in Bohr magnetons follow the coordinates.
Fractional coordinates of all 5 atoms:
Ca: 0.000 0.000 0.000  0.01
Rh: 0.500 0.500 0.500  0.03
V: 0.000 0.500 0.000  0.17
V: 0.000 0.000 0.500  0.17
V: 0.500 0.000 0.000  0.17

Material: CaV3Rh
Method: DFT, PBE
State: relaxed

Results
ΔE_f = 744 meV/atom
Density = 4.551 g/cm3

Lattice parameters (Å, degrees): 4.761 4.761 4.761 90.00 90.00 90.00
Site moments in Bohr magnetons follow the coordinates.
Fractional coordinates of all 5 atoms:
Ca: 0.500 0.500 0.500  0.05
Rh: 0.000 0.000 0.000  -0.17
V: 0.000 0.500 0.000  1.77
V: 0.000 0.000 0.500  1.77
V: 0.500 0.000 0.000  1.77